# 1
Sr2HBr | GGA-PBE | optimized geometry

Cell and atoms, written as POSCAR:
```
Sr2HBr
1.0
0.0000 3.8984 3.8984
3.8984 0.0000 3.8984
3.8984 3.8984 0.0000
Sr Br H
2 1 1
direct
0.2500 0.2500 0.2500
0.7500 0.7500 0.7500
0.5000 0.5000 0.5000
0.0000 0.0000 0.0000
```

Summary:
Crystal system ... cubic
Space group ... Fm-3m
Calculated density ... 3.590 g/cm3
E above lowest polymorph ... 402 meV/atom
Density of states at the Fermi level ... 2.2 states/eV per cell

# 2
PmAlTl2O6 | GGA-PBE | optimized geometry

Cell and atoms, written as POSCAR:
```
PmAlTl2O6
1.0
-0.4545 4.5349 -3.2821
0.0929 -0.5573 -5.5879
-5.0563 0.8089 -2.9873
Pm Al Tl O
1 1 2 6
direct
0.8084 0.8084 0.5747
0.3205 0.3205 0.0384
0.5396 0.5396 0.3812
0.0286 0.0286 0.9142
0.5663 0.2122 0.2475
0.2122 0.9740 0.2475
0.9740 0.5663 0.2475
0.4152 0.6692 0.7880
0.6692 0.1276 0.7880
0.1276 0.4152 0.7880
```

Summary:
Crystal system ... trigonal
Space group ... R3
Calculated density ... 8.289 g/cm3
E_form (uncorrected) ... -18.45 eV per formula unit

# 3
Ba2MgAgTe | GGA-PBE | optimized geometry

Cell and atoms, written as POSCAR:
```
Ba2MgAgTe
1.0
-2.6078 5.7827 1.9792
-3.8525 -2.6354 2.6237
3.8077 -0.1462 5.4440
Mg Te Ba Ag
1 1 2 1
direct
0.5000 0.5000 0.5000
0.0000 0.0000 0.0000
0.0000 0.0000 0.5000
0.5000 0.0000 0.0000
0.0000 0.5000 0.0000
```

Summary:
Crystal system ... tetragonal
Space group ... P4/mmm
Calculated density ... 3.753 g/cm3
E_form (uncorrected) ... -1.35 eV per formula unit
Density of states at the Fermi level ... 4.5 states/eV per cell

# 4
CdW2Br | GGA-PBE | optimized geometry

Cell and atoms, written as POSCAR:
```
CdW2Br
1.0
-0.9525 -2.2958 1.7008
1.3672 -0.3845 -2.6559
8.6697 -0.2623 4.5010
Br W Cd
1 2 1
direct
0.5000 0.5000 0.2500
0.0000 0.0000 0.0093
0.0000 0.0000 0.4907
0.5000 0.5000 0.7500
```

Summary:
Crystal system ... orthorhombic
Space group ... Cmmm
Calculated density ... 12.505 g/cm3
E_form (uncorrected) ... 4.42 eV per formula unit
E above lowest polymorph ... 719 meV/atom
Density of states at the Fermi level ... 3.0 states/eV per cell

# 5
Sb3Rh | GGA-PBE | optimized geometry

Cell and atoms, written as POSCAR:
```
Sb3Rh
1.0
-3.2674 4.5782 -1.0981
-4.3039 -3.4464 -1.5624
-1.9086 -0.0661 5.4033
Sb Rh
6 2
direct
0.7500 0.5000 0.0000
0.2500 0.5000 0.0000
0.0000 0.7500 0.5000
0.0000 0.2500 0.5000
0.5000 0.0000 0.2500
0.5000 0.0000 0.7500
0.0000 0.0000 0.0000
0.5000 0.5000 0.5000
```

Summary:
Crystal system ... cubic
Space group ... Pm-3n
Calculated density ... 8.261 g/cm3
E_form (uncorrected) ... 1.24 eV per formula unit
E above lowest polymorph ... 713 meV/atom
Density of states at the Fermi level ... 5.7 states/eV per cell